HgMoS2Cl | GGA-PBEsol | relaxed Values from VASP.

Geometry as Quantum ESPRESSO input:
```
&SYSTEM
  ibrav = 0, nat = 5, ntyp = 4
/
ATOMIC_SPECIES
Cl 35.45 Cl.upf
Hg 200.59 Hg.upf
Mo 95.94 Mo.upf
S 32.06 S.upf
CELL_PARAMETERS angstrom
-0.136 2.895 -3.986
-3.672 -2.717 -1.848
-3.275 2.912 2.227
ATOMIC_POSITIONS crystal
Cl 0.000 0.000 0.500
Hg 0.000 0.000 0.000
Mo 0.500 0.500 0.500
S 0.000 0.500 0.000
S 0.500 0.000 0.000
```

## Properties
The value obtained for the density of states at the Fermi level is 3.70 states/eV per cell. The value obtained for the uncorrected formation energy is 1.116 eV per atom. For the size of the total moment, the calculation gives 3.8 μB per formula unit.